[1]
Density functional theory data (PBE) for a relaxed Rb3Pb2Br3Cl4 crystal.

Cell and atoms, written as extended XYZ:
```
12
Lattice="-2.383 -2.252 4.763 3.820 -4.558 -0.244 8.406 10.626 5.720" Properties=species:S:1:pos:R:3 pbc="T T T"
Rb 0.456 -3.653 2.784
Rb 5.920 4.714 4.642
Rb 4.296 -0.545 4.852
Pb 1.974 1.560 1.767
Pb 7.840 2.229 8.529
Br -2.354 -2.225 4.705
Br 4.058 -0.556 1.324
Br 6.087 4.657 8.314
Cl 9.205 3.497 6.206
Cl 3.517 2.744 3.815
Cl 5.812 0.586 7.452
Cl 0.674 0.353 3.962
```

Computed properties:
Density of states at the Fermi level (states/eV per cell): 0.0
Space-group type: Imm2 (44)
Uncorrected energy (eV per atom): -3.342
M_tot (μB per formula unit): 0.00

=====

[2]
Density functional theory data (PBE) for a relaxed Na3Ac2HoSe6 crystal.

Cell and atoms, written as extended XYZ:
```
12
Lattice="4.386 0.000 0.000 0.000 8.663 0.404 -2.193 -2.407 9.179" Properties=species:S:1:pos:R:3 pbc="T T T"
Na 2.193 4.331 0.202
Na 2.193 -0.153 6.265
Na 0.000 6.409 3.317
Ac 2.193 4.230 6.431
Ac 0.000 2.025 3.151
Ho 2.193 0.000 0.000
Se 0.000 6.382 6.685
Se 2.193 4.226 3.299
Se 2.193 -0.126 2.897
Se 2.193 -0.455 9.258
Se 0.000 6.710 0.325
Se 0.000 2.030 6.284
```

Computed properties:
Density of states at the Fermi level (states/eV per cell): 0.0
Space-group type: C2/m (12)
Uncorrected energy (eV per atom): -4.842
M_tot (μB per formula unit): 0.00

=====

[3]
Density functional theory data (PBE) for a relaxed Li6Cl7 crystal.

Cell and atoms, written as extended XYZ:
```
13
Lattice="11.415 0.102 0.063 9.475 6.366 0.063 9.475 2.934 5.650" Properties=species:S:1:pos:R:3 pbc="T T T"
Li 1.914 0.593 0.364
Li 28.452 8.810 5.412
Li 7.366 2.281 1.401
Li 22.999 7.121 4.374
Li 10.147 3.142 1.930
Li 20.219 6.260 3.846
Cl 12.080 2.044 3.157
Cl 12.080 3.740 0.396
Cl 11.122 5.140 3.157
Cl 18.285 7.358 2.618
Cl 19.243 4.262 2.618
Cl 18.285 5.662 5.379
Cl 15.183 4.701 2.888
```

Computed properties:
Density of states at the Fermi level (states/eV per cell): 11.8
Space-group type: R-3m (166)
Uncorrected energy (eV per atom): -3.074
M_tot (μB per formula unit): 0.76

=====

[4]
Density functional theory data (PBE) for a relaxed ZnTcIBr2 crystal.

Cell and atoms, written as extended XYZ:
```
5
Lattice="-5.036 1.817 2.942 -2.773 -0.633 -4.356 -1.164 -5.785 1.581" Properties=species:S:1:pos:R:3 pbc="T T T"
I 0.000 0.000 0.000
Zn -4.486 -2.300 0.083
Tc -1.386 -0.316 -2.178
Br -0.582 -2.892 0.790
Br -2.518 0.909 1.471
```

Computed properties:
Density of states at the Fermi level (states/eV per cell): 2.9
Space-group type: P4/mmm (123)
Uncorrected energy (eV per atom): -2.345
M_tot (μB per formula unit): 3.86

=====

[5]
Density functional theory data (PBE) for a relaxed Sm2Ge3Rh5 crystal.

Cell and atoms, written as extended XYZ:
```
20
Lattice="-0.497 -3.505 2.211 6.590 -0.108 1.310 -1.676 8.483 9.133" Properties=species:S:1:pos:R:3 pbc="T T T"
Sm 3.095 6.401 10.844
Sm 4.218 2.276 4.557
Sm 0.098 2.596 8.077
Sm 1.334 -1.531 1.813
Ge 3.535 1.816 7.613
Ge 2.621 -0.295 4.060
Ge 6.143 0.571 2.285
Ge 0.649 3.058 4.994
Ge 1.060 4.254 10.922
Ge -1.486 5.220 7.941
Rh 1.136 5.323 8.694
Rh 2.342 3.874 6.668
Rh -0.878 1.045 5.399
Rh 0.963 1.720 2.944
Rh 5.046 3.811 7.176
Rh -1.366 4.186 10.269
Rh 1.815 1.019 5.963
Rh 3.082 3.156 9.636
Rh 3.654 0.719 1.962
Rh 5.327 -0.486 4.366
```

Computed properties:
Density of states at the Fermi level (states/eV per cell): 10.4
Space-group type: Cmc2_1 (36)
ΔH_f (0 K) (eV/f.u.): -7.4
M_tot (μB per formula unit): 0.00

=====

[6]
Density functional theory data (PBE) for a relaxed U2PaRhN4 crystal.

Cell and atoms, written as extended XYZ:
```
16
Lattice="-0.988 -0.967 -3.112 -1.970 -4.215 3.798 -9.829 5.785 1.321" Properties=species:S:1:pos:R:3 pbc="T T T"
U -7.315 -0.263 2.403
U -1.697 -1.356 -0.903
U -5.472 0.865 -0.396
U -11.089 1.959 2.910
Pa -7.935 3.264 1.503
Pa -4.852 -2.662 0.504
Rh -9.559 0.624 0.976
Rh -3.227 -0.022 1.031
N -2.515 -2.013 1.424
N -7.588 1.036 0.223
N -10.271 2.615 0.584
N -5.199 -0.434 1.784
N -4.914 2.892 0.661
N 0.000 0.000 0.000
N -9.731 -0.162 3.138
N -3.055 0.764 -1.131
```

Computed properties:
Density of states at the Fermi level (states/eV per cell): 18.3
Space-group type: Cmcm (63)
Uncorrected energy (eV per atom): -10.171
M_tot (μB per formula unit): 3.24

=====

[7]
Density functional theory data (PBE) for a relaxed Nd4ThPb5 crystal.

Cell and atoms, written as extended XYZ:
```
10
Lattice="3.613 0.000 0.000 0.000 3.613 0.000 0.000 0.000 23.089" Properties=species:S:1:pos:R:3 pbc="T T T"
Nd 0.000 0.000 4.616
Nd 0.000 0.000 9.236
Nd 0.000 0.000 13.853
Nd 0.000 0.000 18.473
Th 0.000 0.000 0.000
Pb 1.806 1.806 2.318
Pb 1.806 1.806 6.922
Pb 1.806 1.806 11.544
Pb 1.806 1.806 16.167
Pb 1.806 1.806 20.771
```

Computed properties:
Density of states at the Fermi level (states/eV per cell): 9.2
Space-group type: P4/mmm (123)
ΔH_f (0 K) (eV/f.u.): -4.7
M_tot (μB per formula unit): 0.06

=====

[8]
Density functional theory data (PBE) for a relaxed Nd2Sm6Ho3Er crystal.

Cell and atoms, written as extended XYZ:
```
12
Lattice="6.239 0.000 0.005 -3.118 5.404 0.005 -1.048 -1.814 11.734" Properties=species:S:1:pos:R:3 pbc="T T T"
Nd 0.001 3.602 0.005
Nd 3.120 1.801 0.005
Sm 3.110 1.798 8.775
Sm 2.082 3.605 2.978
Sm -1.037 1.792 2.969
Sm 0.003 3.592 8.775
Sm -0.009 -0.015 8.766
Sm 2.070 -0.003 2.969
Ho -2.086 3.598 5.872
Ho 4.159 -0.008 5.872
Ho 1.037 1.795 5.872
Er 0.000 0.000 0.000
```

Computed properties:
Density of states at the Fermi level (states/eV per cell): 15.2
Space-group type: C2/m (12)
ΔH_f (0 K) (eV/f.u.): 0.2
M_tot (μB per formula unit): 0.00

=====

[9]
Density functional theory data (PBE) for a relaxed Mn2OsBr crystal.

Cell and atoms, written as extended XYZ:
```
4
Lattice="-0.719 0.938 3.512 -1.804 -2.361 2.214 5.645 -2.585 1.851" Properties=species:S:1:pos:R:3 pbc="T T T"
Br 0.297 -1.103 2.555
Mn 5.206 -2.491 1.979
Mn 2.325 -2.890 5.404
Os 2.502 -2.112 3.278
```

Computed properties:
Relative energy among the computed polymorphs (meV/atom): 188
Density of states at the Fermi level (states/eV per cell): 0.3
Space-group type: P3m1 (156)
M_tot (μB per formula unit): 2.99

=====

[10]
Density functional theory data (PBE) for a relaxed Pd2Pt2Au7 crystal.

Cell and atoms, written as extended XYZ:
```
11
Lattice="2.825 0.000 0.000 1.413 8.626 -0.646 1.413 3.521 7.901" Properties=species:S:1:pos:R:3 pbc="T T T"
Pd 4.238 10.615 5.006
Pd 1.413 2.707 0.283
Pt 1.413 7.222 1.705
Pt 2.825 4.772 5.806
Au 2.825 1.448 2.389
Au 4.238 7.166 5.880
Au 2.825 8.485 -0.409
Au 2.825 4.805 1.592
Au 2.825 8.468 3.779
Au 2.825 9.358 7.113
Au 1.413 3.573 3.734
```

Computed properties:
Relative energy among the computed polymorphs (meV/atom): 18
Density of states at the Fermi level (states/eV per cell): 5.3
Space-group type: Imm2 (44)
ΔH_f (0 K) (eV/f.u.): 1.0
M_tot (μB per formula unit): 0.00

=====

[11]
Density functional theory data (PBE) for a relaxed TlSeCl2 crystal.

Cell and atoms, written as extended XYZ:
```
4
Lattice="-5.911 4.033 7.488 -3.801 6.618 7.002 -6.522 6.271 5.040" Properties=species:S:1:pos:R:3 pbc="T T T"
Tl 0.000 0.000 0.000
Se -8.117 8.461 9.765
Cl -14.678 15.300 17.659
Cl -1.556 1.622 1.872
```

Computed properties:
Relative energy among the computed polymorphs (meV/atom): 571
Density of states at the Fermi level (states/eV per cell): 3.0
Space-group type: R-3m (166)
M_tot (μB per formula unit): 0.00

=====

[12]
Density functional theory data (PBE) for a relaxed AsPb2Br crystal.

Cell and atoms, written as extended XYZ:
```
4
Lattice="-5.941 0.782 -6.315 0.190 -3.484 4.396 -3.105 1.231 1.087" Properties=species:S:1:pos:R:3 pbc="T T T"
Pb 0.000 0.000 0.000
Pb -4.523 1.007 -2.614
As -1.457 -1.126 2.741
Br -2.875 -1.351 -0.960
```

Computed properties:
Relative energy among the computed polymorphs (meV/atom): 272
Density of states at the Fermi level (states/eV per cell): 1.4
Space-group type: C2/m (12)
M_tot (μB per formula unit): 0.00